1.
Density functional theory data (GGA-PBE) for crystalline AgP2HS at its relaxed geometry.

Values from the calculation:
Total magnetization   0.31 μB/atom
Volume   116.49 Å³/cell
SG   P4/mmm, No. 123
Calculated total energy   -13.11 eV/cell
ΔE to the lowest computed polymorph   909 meV per atom

Cell: 4.8423 4.8423 4.9679 Å, 90.00 90.00 90.00°
Last column: nearest neighbours and their distance in Å.
Fractional coordinates of all 5 atoms:
Ag: 0.0000 0.0000 0.0000  4 P 2.42, 2 S 2.48
P: 0.0000 0.5000 0.0000  2 Ag 2.42
P: 0.5000 0.0000 0.0000  2 Ag 2.42
H: 0.5000 0.5000 0.5000  4 S 3.42, 8 P 3.47
S: 0.0000 0.0000 0.5000  2 Ag 2.48

=====

2.
Density functional theory data (GGA-PBE) for crystalline Pm2NiH6 at its relaxed geometry.

Values from the calculation:
Total magnetization   0.00 μB/atom
Volume   95.59 Å³/cell
SG   Immm, No. 71
Calculated total energy   -37.48 eV/cell

Cell: 6.2300 6.2300 6.2300 Å, 146.76 133.34 58.48°
Last column: nearest neighbours and their distance in Å.
Fractional coordinates of all 9 atoms:
Pm: 0.1529 0.1529 0.0000  8 H 2.25-2.34
Pm: 0.8471 0.8471 0.0000  8 H 2.25-2.34
Ni: 0.5000 0.5000 0.0000  8 H 1.96-2.05
H: 0.1195 0.3402 0.7793  1 Ni 2.05, 1 H 2.18, 2 Pm 2.25
H: 0.3325 0.0000 0.3325  1 H 1.65
H: 0.4391 0.6598 0.7793  1 Ni 2.05, 1 H 2.18, 2 Pm 2.25
H: 0.5609 0.3402 0.2207  1 Ni 2.05, 1 H 2.18, 2 Pm 2.25
H: 0.6675 0.0000 0.6675  1 H 1.65
H: 0.8805 0.6598 0.2207  1 Ni 2.05, 1 H 2.18, 2 Pm 2.25

=====

3.
Density functional theory data (GGA-PBE) for crystalline Th4GaTe2As at its relaxed geometry.

Values from the calculation:
Total magnetization   0.00 μB/atom
Volume   240.11 Å³/cell
E_form (uncorrected)   -8.16 eV/f.u.
SG   P2/m, No. 10
Calculated total energy   -51.80 eV/cell

Cell: 7.5068 4.3636 7.7569 Å, 90.00 109.09 90.00°
Last column: nearest neighbours and their distance in Å.
Fractional coordinates of all 8 atoms:
Th: 0.2387 0.0000 0.2173  2 As 2.97, 1 Ga 2.98, 3 Te 3.25-3.26
Th: 0.2606 0.5000 0.7820  1 As 2.97, 2 Ga 2.98, 3 Te 3.25
Th: 0.7394 0.5000 0.2180  1 As 2.97, 2 Ga 2.98, 3 Te 3.25
Th: 0.7613 0.0000 0.7827  2 As 2.97, 1 Ga 2.98, 3 Te 3.25-3.26
Ga: 0.5000 0.0000 0.0000  6 Th 2.98
Te: 0.0000 0.0000 0.5000  6 Th 3.25
Te: 0.5000 0.5000 0.5000  6 Th 3.25-3.26
As: 0.0000 0.5000 0.0000  6 Th 2.97

=====

4.
Density functional theory data (GGA-PBE) for crystalline TcCl at its relaxed geometry.

Values from the calculation:
Total magnetization   0.00 μB/atom
Volume   63.33 Å³/cell
E_form (uncorrected)   0.98 eV/f.u.
SG   P6_3mc, No. 186
Calculated total energy   -22.47 eV/cell
ΔE to the lowest computed polymorph   615 meV per atom

Cell: 2.9973 2.9973 8.1393 Å, 90.00 90.00 120.00°
Last column: nearest neighbours and their distance in Å.
Fractional coordinates of all 4 atoms:
Tc: 0.3333 0.6667 0.0000  4 Cl 2.29-2.48
Tc: 0.6667 0.3333 0.5000  4 Cl 2.29-2.48
Cl: 0.3333 0.6667 0.7184  4 Tc 2.29-2.48
Cl: 0.6667 0.3333 0.2184  4 Tc 2.29-2.48

=====

5.
Density functional theory data (GGA-PBE) for crystalline BaNaSn2Rh at its relaxed geometry.

Values from the calculation:
Total magnetization   0.00 μB/atom
Volume   144.62 Å³/cell
SG   P4/mmm, No. 123
Calculated total energy   -20.40 eV/cell
Formation energy   -0.3596 eV/atom

Cell: 5.1661 5.1661 5.4189 Å, 90.00 90.00 90.00°
Last column: nearest neighbours and their distance in Å.
Fractional coordinates of all 5 atoms:
Ba: 0.0000 0.0000 0.0000  4 Na 3.65, 8 Sn 3.74
Na: 0.5000 0.5000 0.0000  2 Rh 2.71
Sn: 0.0000 0.5000 0.5000  2 Rh 2.58
Sn: 0.5000 0.0000 0.5000  2 Rh 2.58
Rh: 0.5000 0.5000 0.5000  4 Sn 2.58, 2 Na 2.71

=====

6.
Density functional theory data (GGA-PBE) for crystalline Cs2Cd2I7 at its relaxed geometry.

Values from the calculation:
Total magnetization   0.09 μB/atom
Volume   615.08 Å³/cell
E_form (uncorrected)   -8.99 eV/f.u.
SG   C2/m, No. 12
Calculated total energy   -23.38 eV/cell

Cell: 9.1466 9.1466 7.4259 Å, 95.20 95.20 92.88°
Last column: nearest neighbours and their distance in Å.
Fractional coordinates of all 11 atoms:
Cs: 0.2459 0.7541 0.0000  6 I 3.92-4.01
Cs: 0.7541 0.2459 0.0000  6 I 3.92-4.01
Cd: 0.2672 0.2672 0.5131  4 I 2.78-2.95
Cd: 0.7328 0.7328 0.4869  4 I 2.78-2.95
I: 0.0557 0.4050 0.7103  1 Cd 2.81
I: 0.1742 0.1742 0.1530  1 Cd 2.78
I: 0.4050 0.0557 0.7103  1 Cd 2.81
I: 0.5000 0.5000 0.5000  2 Cd 2.95
I: 0.5950 0.9443 0.2897  1 Cd 2.81
I: 0.8258 0.8258 0.8470  1 Cd 2.78
I: 0.9443 0.5950 0.2897  1 Cd 2.81

=====

7.
Density functional theory data (GGA-PBE) for crystalline Sc5As4N at its relaxed geometry.

Values from the calculation:
Total magnetization   0.00 μB/atom
Volume   190.49 Å³/cell
E_form (uncorrected)   -13.30 eV/f.u.
SG   I4, No. 79
Calculated total energy   -71.88 eV/cell

Cell: 6.5044 6.5044 6.5044 Å, 100.18 100.18 130.28°
Last column: nearest neighbours and their distance in Å.
Fractional coordinates of all 10 atoms:
Sc: 0.0000 0.0000 0.0000  1 N 2.12
Sc: 0.2981 0.6608 0.8261  1 N 2.39
Sc: 0.4720 0.2981 0.6373  1 N 2.39
Sc: 0.6608 0.8347 0.3627  1 N 2.39
Sc: 0.8347 0.4720 0.1739  1 N 2.39
As: 0.1594 0.3720 0.3950  6 Sc 2.67-2.82
As: 0.3720 0.9771 0.2127  6 Sc 2.67-2.82
As: 0.7644 0.1594 0.7873  6 Sc 2.67-2.82
As: 0.9771 0.7644 0.6050  6 Sc 2.67-2.82
N: 0.6128 0.6128 0.0000  1 Sc 2.12

=====

8.
Density functional theory data (GGA-PBE) for crystalline MgTcIr2 at its relaxed geometry.

Values from the calculation:
Total magnetization   0.00 μB/atom
Volume   60.10 Å³/cell
SG   Pmm2, No. 25
Calculated total energy   -29.87 eV/cell
Formation energy   -0.0457 eV/atom

Cell: 2.7817 4.0295 5.3623 Å, 90.00 90.00 90.00°
Last column: nearest neighbours and their distance in Å.
Fractional coordinates of all 4 atoms:
Mg: 0.0000 0.0000 0.0000  6 Ir 2.65-2.71, 2 Mg 2.78, 4 Tc 2.90
Tc: 0.5000 0.5000 0.2915  6 Ir 2.67-2.69, 2 Tc 2.78, 4 Mg 2.90
Ir: 0.0000 0.0000 0.4940  2 Mg 2.65-2.71, 4 Tc 2.68, 6 Ir 2.78-2.93
Ir: 0.5000 0.5000 0.7940  2 Tc 2.67-2.69, 4 Mg 2.69, 6 Ir 2.78-2.93

=====

9.
Density functional theory data (GGA-PBE) for crystalline BaIrCl6 at its relaxed geometry.

Values from the calculation:
Total magnetization   0.13 μB/atom
Volume   461.39 Å³/cell
E_form (uncorrected)   -9.84 eV/f.u.
SG   C2/c, No. 15
Calculated total energy   -63.42 eV/cell
ΔE to the lowest computed polymorph   0 meV per atom

Cell: 6.5473 6.5473 10.8321 Å, 92.48 92.48 84.47°
Last column: nearest neighbours and their distance in Å.
Fractional coordinates of all 16 atoms:
Ba: 0.0255 0.9745 0.7500  10 Cl 3.22-3.41
Ba: 0.9745 0.0255 0.2500  10 Cl 3.22-3.41
Ir: 0.0000 0.5000 0.5000  6 Cl 2.32-2.36
Ir: 0.5000 0.0000 0.0000  6 Cl 2.32-2.36
Cl: 0.0815 0.5246 0.2913  1 Ir 2.36
Cl: 0.1808 0.1987 0.0058  1 Ir 2.35
Cl: 0.1987 0.1808 0.5058  1 Ir 2.35
Cl: 0.2869 0.6638 0.5653  1 Ir 2.32
Cl: 0.3362 0.7131 0.9347  1 Ir 2.32
Cl: 0.4754 0.9185 0.2087  1 Ir 2.36
Cl: 0.5246 0.0815 0.7913  1 Ir 2.36
Cl: 0.6638 0.2869 0.0653  1 Ir 2.32
Cl: 0.7131 0.3362 0.4347  1 Ir 2.32
Cl: 0.8013 0.8192 0.4942  1 Ir 2.35
Cl: 0.8192 0.8013 0.9942  1 Ir 2.35
Cl: 0.9185 0.4754 0.7087  1 Ir 2.36

=====

10.
Density functional theory data (GGA-PBE) for crystalline Rb2SnBi at its relaxed geometry.

Values from the calculation:
Total magnetization   0.00 μB/atom
Volume   567.87 Å³/cell
SG   I-42d, No. 122
Calculated total energy   -19.67 eV/cell
Formation energy   -0.0037 eV/atom

Cell: 10.2362 10.2362 10.2362 Å, 94.79 94.79 146.42°
Last column: nearest neighbours and their distance in Å.
Fractional coordinates of all 8 atoms:
Rb: 0.3750 0.1877 0.3127  2 Bi 3.65
Rb: 0.8123 0.1250 0.1873  2 Bi 3.65
Rb: 0.8750 0.0623 0.6873  2 Bi 3.65
Rb: 0.9377 0.6250 0.8127  2 Bi 3.65
Sn: 0.2500 0.7500 0.5000  2 Bi 2.96
Sn: 0.5000 0.5000 0.0000  2 Bi 2.96
Bi: 0.0000 0.0000 0.0000  2 Sn 2.96
Bi: 0.7500 0.2500 0.5000  2 Sn 2.96